[1]
GGA-PBE SmGe2Pb, relaxed; space-group type = P4/mmm, No. 123
1.0
4.7285 0.0000 0.0000
0.0000 4.7285 0.0000
0.0000 0.0000 4.2706
Sm Ge Pb
1 2 1
direct
0.0000 0.0000 0.0000
0.0000 0.5000 0.5000
0.5000 0.0000 0.5000
0.5000 0.5000 0.0000

[2]
GGA-PBE Sm2GePb, relaxed; space-group type = P4/mmm, No. 123
1.0
3.4653 0.0000 0.0000
0.0000 3.4653 0.0000
0.0000 0.0000 8.8399
Sm Ge Pb
2 1 1
direct
0.0000 0.0000 0.2219
0.0000 0.0000 0.7781
0.5000 0.5000 0.0000
0.5000 0.5000 0.5000

[3]
GGA-PBE Sm4Ge2Pb, relaxed; space-group type = I4_1/amd, No. 141
1.0
-4.8119 4.8119 4.7822
4.8119 -4.8119 4.7822
4.8119 4.8119 -4.7822
Sm Ge Pb
8 4 2
direct
0.2042 0.2742 0.5701
0.2042 0.6341 0.9299
0.2742 0.2042 0.0701
0.3659 0.7958 0.5701
0.6341 0.2042 0.4299
0.7258 0.7958 0.9299
0.7958 0.3659 0.0701
0.7958 0.7258 0.4299
0.0000 0.5000 0.5000
0.5000 0.0000 0.0000
0.5000 0.5000 0.0000
0.5000 0.5000 0.5000
0.1250 0.8750 0.2500
0.8750 0.1250 0.7500

[4]
GGA-PBE Sm2GePb, relaxed; space-group type = P2_1/m, No. 11
1.0
6.2083 0.0000 0.0000
0.0000 4.2370 0.0000
-2.7677 0.0000 8.4189
Sm Ge Pb
4 2 2
direct
0.1834 0.2500 0.4196
0.2765 0.7500 0.0562
0.7235 0.2500 0.9438
0.8166 0.7500 0.5804
0.1092 0.2500 0.7970
0.8908 0.7500 0.2030
0.3888 0.7500 0.7060
0.6112 0.2500 0.2940

[5]
GGA-PBE SmGePb, relaxed; space-group type = Cmcm, No. 63
1.0
2.2388 -8.6320 0.0000
2.2388 8.6320 0.0000
0.0000 0.0000 4.1004
Sm Ge Pb
2 2 2
direct
0.0909 0.9091 0.7500
0.9091 0.0909 0.2500
0.4504 0.5496 0.7500
0.5496 0.4504 0.2500
0.2671 0.7329 0.2500
0.7329 0.2671 0.7500

[6]
GGA-PBE SmGePb, relaxed; space-group type = P3m1, No. 156
1.0
4.8990 0.0000 0.0000
-2.4495 4.2427 0.0000
0.0000 0.0000 3.9093
Sm Ge Pb
1 1 1
direct
0.0000 0.0000 0.0000
0.3333 0.6667 0.3741
0.6667 0.3333 0.5573

no.,E_form (eV per formula unit),N(E_F) (states/eV per atom),uncorrected energy (eV/atom)
1,-1.4,0.49,-4.758
2,-2.3,0.84,-5.019
3,-4.0,0.51,-5.123
4,-2.7,0.63,-5.118
5,-1.6,0.43,-4.877
6,-0.9,0.52,-4.632